Material: LiMo3P3O16
Method: DFT, GGA+U
State: optimized geometry

Mass density ... 3.44 g cm⁻³
Total DFT energy (no corrections) ... -163.27 eV per formula unit

Geometry as CIF:
```
data_LiMo3P3O16
_chemical_formula_sum 'Li2 Mo6 P6 O32'
_cell_length_a 6.4639
_cell_length_b 7.9253
_cell_length_c 12.7069
_cell_angle_alpha 79.55
_cell_angle_beta 77.89
_cell_angle_gamma 81.07
_symmetry_space_group_name_H-M 'P -1'
_symmetry_Int_Tables_number 2
loop_
_symmetry_equiv_pos_as_xyz
'x,y,z'
'-x,-y,-z'
loop_
_atom_site_label
_atom_site_type_symbol
_atom_site_fract_x
_atom_site_fract_y
_atom_site_fract_z
Li1 Li 0.0802 0.3538 0.3183
Mo1 Mo 0.1017 0.2499 0.8344
Mo2 Mo 0.2927 0.7873 0.4726
Mo3 Mo 0.4612 0.7991 0.8479
P1 P 0.0604 0.1553 0.1105
P2 P 0.1930 0.1598 0.5668
P3 P 0.4460 0.5094 0.6875
O1 O 0.0286 0.2495 0.4937
O2 O 0.0669 0.9593 0.1167
O3 O 0.0895 0.5757 0.1761
O4 O 0.1254 0.2125 0.6800
O5 O 0.1268 0.2431 0.9929
O6 O 0.1634 0.7623 0.8366
O7 O 0.2083 0.9613 0.5822
O8 O 0.2172 0.1952 0.1794
O9 O 0.2653 0.6011 0.6275
O10 O 0.2941 0.9467 0.3627
O11 O 0.3578 0.3827 0.7890
O12 O 0.3668 0.5810 0.3874
O13 O 0.3765 0.0222 0.8429
O14 O 0.4041 0.2268 0.5073
O15 O 0.4374 0.7128 0.9817
O16 O 0.4497 0.3551 0.2691
```